1.
VASP calculation (PBEsol) on a geometry-optimized Ca4P6O19 structure.

Calculated values
The calculation puts the energy relative to the elements, uncorrected at -2.64 eV per atom.

a b c (Å): 6.8636 9.1691 12.8143
angles (deg): 109.51 99.95 91.60
Space group P-1 (No. 2)
One atom of each set of equivalent atoms:
Ca1 0.0270 0.1840 0.1484
Ca2 0.0987 0.6487 0.3341
Ca3 0.1878 0.0068 0.6336
Ca4 0.3542 0.8710 0.1223
P1 0.1241 0.1874 0.8799
P2 0.2034 0.6297 0.6206
P3 0.2701 0.0516 0.3746
P4 0.2861 0.4621 0.0931
P5 0.3732 0.3293 0.5841
P6 0.4643 0.7602 0.8494
O1 0.0012 0.1160 0.9438
O2 0.0097 0.7733 0.2118
O3 0.0476 0.5931 0.6796
O4 0.1063 0.0965 0.2975
O5 0.1278 0.4317 0.1532
O6 0.1587 0.7229 0.5441
O7 0.1766 0.9660 0.4413
O8 0.2175 0.2650 0.6311
O9 0.2418 0.3493 0.9657
O10 0.2888 0.0890 0.8352
O11 0.2892 0.4757 0.5507
O12 0.3056 0.8157 0.9170
O13 0.3359 0.6209 0.0944
O14 0.3491 0.1325 0.1205
O15 0.3886 0.7276 0.7176
O16 0.3898 0.2135 0.4638
O17 0.4232 0.6208 0.3477
O18 0.4359 0.9717 0.3184
O19 0.4922 0.4051 0.1433

=====

2.
VASP calculation (PBEsol) on a geometry-optimized V4O7F5 structure.

Calculated values
The calculation puts the energy relative to the elements, uncorrected at -2.52 eV per atom. The distance to the lowest polymorph of the same formula comes out at 0 meV per atom.

a b c (Å): 8.9403 5.1945 8.8762
angles (deg): 90.00 107.28 90.00
Space group C2 (No. 5)
One atom of each set of equivalent atoms:
V1 0.1039 0.0000 0.3659
V2 0.1519 0.5250 0.8807
O1 0.0000 0.0899 0.5000
O2 0.0175 0.7852 0.7372
O3 0.2302 0.2682 0.0138
O4 0.2469 0.4651 0.7463
F1 0.0000 0.5908 0.0000
F2 0.0252 0.2821 0.2337
F3 0.2308 0.7854 0.5170

=====

3.
VASP calculation (PBEsol) on a geometry-optimized Ca2TaAg structure.

Calculated values
The distance to the lowest polymorph of the same formula comes out at 233 meV per atom. The energy relative to the elements comes out at 2.39 eV/f.u.

a b c (Å): 5.4921 5.4921 3.1553
angles (deg): 90.00 90.00 90.00
Space group P4/mmm (No. 123)
One atom of each set of equivalent atoms:
Ca1 0.0000 0.5000 0.0000
Ta1 0.0000 0.0000 0.5000
Ag1 0.5000 0.5000 0.5000

=====

4.
VASP calculation (PBEsol) on a geometry-optimized CuTe2 structure.

Calculated values
The calculation puts the energy relative to the elements, uncorrected at 0.08 eV per atom.

a b c (Å): 3.8264 3.8264 12.2248
angles (deg): 90.00 90.00 120.00
Space group P6_3/mmc (No. 194)
One atom of each set of equivalent atoms:
Cu1 0.3333 0.6667 0.2500
Te1 0.0000 0.0000 0.1278

=====

5.
VASP calculation (PBEsol) on a geometry-optimized CaMnPb2 structure.

Calculated values
The energy relative to the elements comes out at 0.79 eV/f.u.

a b c (Å): 3.9155 3.9155 6.6684
angles (deg): 90.00 90.00 90.00
Space group P4mm (No. 99)
One atom of each set of equivalent atoms:
Ca1 0.0000 0.0000 0.0000
Mn1 0.5000 0.5000 0.3037
Pb1 0.0000 0.0000 0.4569
Pb2 0.5000 0.5000 0.7401

=====

6.
VASP calculation (PBEsol) on a geometry-optimized MgZnIn structure.

Calculated values
The energy relative to the elements comes out at -0.18 eV/f.u.

a b c (Å): 6.3465 6.3465 6.3465
angles (deg): 90.00 90.00 90.00
Space group F-43m (No. 216)
One atom of each set of equivalent atoms:
Mg1 0.0000 0.0000 0.0000
Zn1 0.2500 0.2500 0.2500
In1 0.0000 0.0000 0.5000

=====

7.
VASP calculation (PBEsol) on a geometry-optimized ScSi4Os structure.

Calculated values
The calculation puts the energy relative to the elements, uncorrected at 0.14 eV per atom.

a b c (Å): 6.9342 6.9342 6.9342
angles (deg): 90.00 90.00 90.00
Space group F-43m (No. 216)
One atom of each set of equivalent atoms:
Sc1 0.0000 0.0000 0.0000
Si1 0.1250 0.1250 0.3750
Os1 0.2500 0.2500 0.7500

=====

8.
VASP calculation (PBEsol) on a geometry-optimized Mg2TiSiTe structure.

Calculated values
The calculation puts the energy relative to the elements, uncorrected at 0.85 eV per atom.

a b c (Å): 5.2867 5.2867 4.9954
angles (deg): 90.00 90.00 90.00
Space group P4/mmm (No. 123)
One atom of each set of equivalent atoms:
Mg1 0.0000 0.5000 0.0000
Ti1 0.0000 0.0000 0.0000
Si1 0.5000 0.5000 0.5000
Te1 0.0000 0.0000 0.5000

=====

no.,density of states at the Fermi level (states/eV per atom)
1,0.000
2,0.269
3,0.808
4,0.516
5,0.693
6,0.326
7,0.894
8,0.872